[1]
First-principles (GGA-PBE) data for an optimized crystal structure of Ce2PrLu, as listed in Alexandria.

The structure belongs to space group Fm-3m (No. 225); the cell edges are 8.0215, 8.0215 and 8.0215 Å and the angles 90.00°, 90.00° and 90.00°. The inequivalent atoms are Ce at (0.2500, 0.2500, 0.2500), Pr at (0.0000, 0.0000, 0.0000) and Lu at (0.0000, 0.0000, 0.5000).

The energy relative to the lowest polymorph listed for this composition is 0.62 eV per formula unit. As for the crystal system: cubic. Its total moment is 0.604 μB per atom. Its formation energy is 0.262 eV per atom.


[2]
First-principles (GGA-PBE) data for an optimized crystal structure of SbMo4Rh, as listed in Alexandria.

The structure belongs to space group F-43m (No. 216); the cell edges are 7.4338, 7.4338 and 7.4338 Å and the angles 90.00°, 90.00° and 90.00°. The inequivalent atoms are Sb at (0.0000, 0.0000, 0.0000), Mo at (0.1249, 0.1249, 0.6249) and Rh at (0.2500, 0.2500, 0.2500).

The uncorrected formation energy is 0.416 eV/atom. As for the crystal system: cubic. Its total moment is 0.000 μB per atom.


[3]
First-principles (GGA-PBE) data for an optimized crystal structure of Pu2NpAu, as listed in Alexandria.

The structure belongs to space group P4/mmm (No. 123); the cell edges are 5.3832, 5.3832 and 2.9864 Å and the angles 90.00°, 90.00° and 90.00°. The inequivalent atoms are Pu at (0.0000, 0.5000, 0.0000), Np at (0.0000, 0.0000, 0.5000) and Au at (0.5000, 0.5000, 0.5000).

The energy relative to the lowest polymorph listed for this composition is 0.00 eV per formula unit. As for the crystal system: tetragonal. Its total moment is 3.139 μB per atom. Its formation energy is 0.061 eV per atom.


[4]
First-principles (GGA-PBE) data for an optimized crystal structure of La8Er2Tm3, as listed in Alexandria.

The structure belongs to space group C2/m (No. 12); the cell edges are 15.3385, 10.8680 and 5.6921 Å and the angles 90.00°, 107.68° and 90.00°. The inequivalent atoms are La at (0.0432, 0.0000, 0.2700), La at (0.1615, 0.2566, 0.1433), La at (0.1629, 0.5000, 0.6281), Er at (0.1851, 0.0000, 0.7857), Tm at (0.0000, 0.2698, 0.5000) and Tm at (0.0000, 0.5000, 0.0000).

The energy relative to the lowest polymorph listed for this composition is 0.00 eV per formula unit. As for the crystal system: monoclinic. Its total moment is 0.000 μB per atom. Its formation energy is 0.174 eV per atom.


[5]
First-principles (GGA-PBE) data for an optimized crystal structure of CrHgRh2, as listed in Alexandria.

The structure belongs to space group P4/mmm (No. 123); the cell edges are 2.8913, 2.8913 and 7.3950 Å and the angles 90.00°, 90.00° and 90.00°. The inequivalent atoms are Cr at (0.0000, 0.0000, 0.0000), Hg at (0.0000, 0.0000, 0.5000) and Rh at (0.5000, 0.5000, 0.2110).

As for the crystal system: tetragonal. Its total moment is 0.494 μB per atom. Its formation energy is 0.020 eV per atom.


[6]
First-principles (GGA-PBE) data for an optimized crystal structure of CaDy2Cu, as listed in Alexandria.

The structure belongs to space group P4/mmm (No. 123); the cell edges are 3.5268, 3.5268 and 9.2374 Å and the angles 90.00°, 90.00° and 90.00°. The inequivalent atoms are Ca at (0.0000, 0.0000, 0.0000), Dy at (0.5000, 0.5000, 0.3215) and Cu at (0.0000, 0.0000, 0.5000).

The energy relative to the lowest polymorph listed for this composition is 0.00 eV per formula unit. As for the crystal system: tetragonal. Its total moment is 0.000 μB per atom. Its formation energy is -0.048 eV per atom.


Q: What is the total moment in the fifth record?
A: 0.494 μB per atom


What did the fifth record say?
First-principles (GGA-PBE) data for an optimized crystal structure of CrHgRh2, as listed in Alexandria.

The structure belongs to space group P4/mmm (No. 123); the cell edges are 2.8913, 2.8913 and 7.3950 Å and the angles 90.00°, 90.00° and 90.00°. The inequivalent atoms are Cr at (0.0000, 0.0000, 0.0000), Hg at (0.0000, 0.0000, 0.5000) and Rh at (0.5000, 0.5000, 0.2110).

As for the crystal system: tetragonal. Its total moment is 0.494 μB per atom. Its formation energy is 0.020 eV per atom.


Q: Which formula does entry 3 have?
A: Pu2NpAu